DFT (PBE) results for a geometry-optimized NaCdFeIr2 structure.

Unit cell a=4.4739 b=4.4739 c=4.7946 alpha=90.00 beta=90.00 gamma=90.00
Element x y z (fractional)
Na1 0.0000 0.0000 0.0000
Cd1 0.5000 0.5000 0.0000
Fe1 0.0000 0.0000 0.5000
Ir1 0.0000 0.5000 0.5000
Ir2 0.5000 0.0000 0.5000

M_tot (μB per atom): 0.035
Crystal system: tetragonal
Energy of formation (eV/atom): 0.95
DFT total energy (eV per atom): -4.730
ρ (g/cm3): 9.96